1.
! Sr2RhI, relaxed, DFT PBE; values from VASP
! Uncorrected energy = -28.48 eV per cell
! Energy relative to the lowest polymorph listed for this composition = 0.238 eV/atom
! Space-group type = I-42d
! E_form (uncorrected) = -0.494 eV/atom
&SYSTEM
  ibrav = 0, nat = 8, ntyp = 3
/
ATOMIC_SPECIES
I 126.90 I.upf
Sr 87.62 Sr.upf
Rh 102.91 Rh.upf
ATOMIC_POSITIONS crystal
I 0.0000 0.0000 0.0000
I 0.7500 0.2500 0.5000
Sr 0.5666 0.1250 0.2500
Sr 0.1834 0.6250 0.2500
Sr 0.3750 0.4334 0.7500
Sr 0.8750 0.8166 0.7500
Rh 0.5000 0.5000 0.0000
Rh 0.2500 0.7500 0.5000
CELL_PARAMETERS angstrom
-5.8796 -5.5446 -0.0095
5.1398 -5.4555 3.0219
-1.5662 -4.2389 5.8178


2.
! Pm12Sm3Pt5, relaxed, DFT PBE; values from VASP
! Uncorrected energy = -410.69 eV per cell
! Space-group type = Ia-3d
! Energy of formation from the pure elements = -0.0652 eV per atom
&SYSTEM
  ibrav = 0, nat = 80, ntyp = 3
/
ATOMIC_SPECIES
Sm 150.36 Sm.upf
Pt 195.08 Pt.upf
Pm 145.00 Pm.upf
ATOMIC_POSITIONS crystal
Sm 0.7500 0.3750 0.1250
Sm 0.8750 0.7500 0.1250
Sm 0.3750 0.7500 0.6250
Sm 0.2500 0.1250 0.3750
Sm 0.8750 0.1250 0.2500
Sm 0.3750 0.6250 0.2500
Sm 0.6250 0.3750 0.7500
Sm 0.1250 0.8750 0.7500
Sm 0.7500 0.8750 0.6250
Sm 0.6250 0.2500 0.3750
Sm 0.1250 0.2500 0.8750
Sm 0.2500 0.6250 0.8750
Pt 0.1250 0.3750 0.2500
Pt 0.0000 0.5000 0.0000
Pt 0.0000 0.0000 0.0000
Pt 0.3750 0.2500 0.1250
Pt 0.5000 0.0000 0.5000
Pt 0.5000 0.5000 0.0000
Pt 0.1250 0.7500 0.3750
Pt 0.7500 0.1250 0.8750
Pt 0.7500 0.6250 0.3750
Pt 0.3750 0.1250 0.7500
Pt 0.6250 0.8750 0.2500
Pt 0.5000 0.5000 0.5000
Pt 0.5000 0.0000 0.0000
Pt 0.0000 0.0000 0.5000
Pt 0.2500 0.3750 0.6250
Pt 0.2500 0.8750 0.1250
Pt 0.0000 0.5000 0.5000
Pt 0.8750 0.2500 0.6250
Pt 0.6250 0.7500 0.8750
Pt 0.8750 0.6250 0.7500
Pm 0.7051 0.1079 0.0278
Pm 0.3227 0.5278 0.4199
Pm 0.9722 0.3921 0.2949
Pm 0.5278 0.2051 0.1079
Pm 0.5972 0.7051 0.6773
Pm 0.9722 0.5801 0.1773
Pm 0.3227 0.7949 0.4028
Pm 0.0801 0.9028 0.1079
Pm 0.5801 0.9722 0.6773
Pm 0.7051 0.5972 0.1773
Pm 0.7949 0.4722 0.3921
Pm 0.8227 0.9199 0.0278
Pm 0.1079 0.7051 0.5278
Pm 0.3921 0.4199 0.0972
Pm 0.0972 0.9199 0.3921
Pm 0.4028 0.1079 0.5801
Pm 0.0972 0.1773 0.2051
Pm 0.4722 0.6773 0.0801
Pm 0.8227 0.9028 0.2949
Pm 0.1079 0.4028 0.0801
Pm 0.3921 0.9722 0.7949
Pm 0.5801 0.6079 0.4028
Pm 0.9199 0.8227 0.5278
Pm 0.7949 0.3227 0.9028
Pm 0.4199 0.3921 0.5972
Pm 0.0801 0.1773 0.4722
Pm 0.2051 0.6773 0.0972
Pm 0.1773 0.0972 0.7051
Pm 0.6079 0.0278 0.2051
Pm 0.8921 0.5972 0.9199
Pm 0.5278 0.3227 0.9199
Pm 0.5972 0.8921 0.4199
Pm 0.9028 0.8227 0.7949
Pm 0.9028 0.0801 0.6079
Pm 0.8921 0.2949 0.4722
Pm 0.1773 0.0801 0.9722
Pm 0.6079 0.5801 0.9028
Pm 0.4199 0.0278 0.3227
Pm 0.2949 0.4028 0.8227
Pm 0.2051 0.5278 0.6079
Pm 0.9199 0.0972 0.8921
Pm 0.6773 0.2051 0.5972
Pm 0.4722 0.7949 0.8921
Pm 0.0278 0.4199 0.8227
Pm 0.4028 0.2949 0.3227
Pm 0.0278 0.6079 0.7051
Pm 0.6773 0.4722 0.5801
Pm 0.2949 0.8921 0.9722
CELL_PARAMETERS angstrom
-3.8620 11.7157 9.5146
-9.6620 -0.1665 -12.2196
-1.1083 -13.5084 7.6809


3.
! ReHgW2, relaxed, DFT PBE; values from VASP
! Uncorrected energy = -36.07 eV per cell
! Space-group type = C2/m
! Energy of formation from the pure elements = 0.6469 eV per atom
&SYSTEM
  ibrav = 0, nat = 4, ntyp = 3
/
ATOMIC_SPECIES
Hg 200.59 Hg.upf
Re 186.21 Re.upf
W 183.84 W.upf
ATOMIC_POSITIONS crystal
Hg 0.2500 0.2500 0.2500
Re 0.7500 0.7500 0.7500
W 0.0101 0.0101 0.9791
W 0.4899 0.4899 0.5209
CELL_PARAMETERS angstrom
-1.9525 4.1175 2.1162
-3.5344 1.7867 3.0919
2.3233 0.1844 4.2069


4.
! ZnPtSe2, relaxed, DFT PBE; values from VASP
! Uncorrected energy = -13.94 eV per cell
! Space-group type = I-4m2
! E_form (uncorrected) = 0.086 eV/atom
&SYSTEM
  ibrav = 0, nat = 4, ntyp = 3
/
ATOMIC_SPECIES
Pt 195.08 Pt.upf
Se 78.96 Se.upf
Zn 65.41 Zn.upf
ATOMIC_POSITIONS crystal
Pt 0.7500 0.2500 0.5000
Se 0.0000 0.0000 0.0000
Se 0.2500 0.7500 0.5000
Zn 0.5000 0.5000 0.0000
CELL_PARAMETERS angstrom
7.9206 2.4956 0.0000
5.0257 6.6111 0.0000
-6.4732 -4.5533 2.5159


5.
! CaCd2Rh2, relaxed, DFT PBE; values from VASP
! Uncorrected energy = -19.31 eV per cell
! Energy relative to the lowest polymorph listed for this composition = 0.080 eV/atom
! Space-group type = I4/mmm
! Energy of formation from the pure elements = -0.1550 eV per atom
&SYSTEM
  ibrav = 0, nat = 5, ntyp = 3
/
ATOMIC_SPECIES
Ca 40.08 Ca.upf
Rh 102.91 Rh.upf
Cd 112.41 Cd.upf
ATOMIC_POSITIONS crystal
Ca 0.0000 0.0000 0.0000
Rh 0.3949 0.3949 0.2102
Rh 0.6051 0.6051 0.7898
Cd 0.7500 0.2500 0.5000
Cd 0.2500 0.7500 0.5000
CELL_PARAMETERS angstrom
-1.2269 3.9238 1.2397
-1.1563 -1.5703 3.8256
4.1850 2.2104 4.5820


6.
! Ac3In2Au9, relaxed, DFT PBE; values from VASP
! Uncorrected energy = -56.14 eV per cell
! Space-group type = Immm
! Energy of formation from the pure elements = -0.6318 eV per atom
&SYSTEM
  ibrav = 0, nat = 14, ntyp = 3
/
ATOMIC_SPECIES
Ac 227.00 Ac.upf
In 114.82 In.upf
Au 196.97 Au.upf
ATOMIC_POSITIONS crystal
Ac 0.0000 0.0000 0.0000
Ac 0.2860 0.2860 0.5721
Ac 0.7140 0.7140 0.4279
In 0.5000 0.3191 0.0000
In 0.5000 0.6809 0.0000
Au 0.0000 0.5000 0.0000
Au 0.3448 0.9856 0.6896
Au 0.6552 0.0144 0.3104
Au 0.3448 0.7041 0.6896
Au 0.6552 0.2959 0.3104
Au 0.1386 0.8484 0.2772
Au 0.8614 0.1516 0.7228
Au 0.1386 0.4287 0.2772
Au 0.8614 0.5713 0.7228
CELL_PARAMETERS angstrom
4.6763 0.0000 -0.9571
-0.9617 8.5586 -4.6990
-0.5992 -0.7631 8.9748